Crystalline Mg2SiMoF at its relaxed geometry, computed with PBE with a Hubbard U.

Cell and atoms, written as extended XYZ:
```
5
Lattice="5.5841 0.0000 0.0000 0.0000 5.5841 0.0000 0.0000 0.0000 4.0523" Properties=species:S:1:pos:R:3 pbc="T T T"
Mg 0.0000 2.7920 0.0000
Mg 2.7920 0.0000 0.0000
Si 0.0000 0.0000 2.0261
Mo 2.7920 2.7920 0.0000
F 2.7920 2.7920 2.0261
```

Properties
raw total energy = -16.055 eV for the cell shown
space group = P4/mmm (123)